# 1
Sc4C3 (PBEsol, optimized geometry); total DFT energy (no corrections) = -0.621 Ry per atom; V = 12.99 Å³/atom; energy of formation = -367 kJ/mol of formula units
1.0
-3.569 3.569 3.569
3.569 -3.569 3.569
3.569 3.569 -3.569
Sc C
8 6
direct
0.000 0.397 0.500
0.000 0.897 0.500
0.103 0.103 0.103
0.397 0.500 0.000
0.500 0.000 0.397
0.500 0.000 0.897
0.603 0.603 0.603
0.897 0.500 0.000
0.125 0.750 0.875
0.250 0.625 0.375
0.375 0.250 0.625
0.625 0.375 0.250
0.750 0.875 0.125
0.875 0.125 0.750

# 2
Cd3P2Cl2 (PBEsol, optimized geometry); density of states at the Fermi level = 0.00 states/eV/cell; total DFT energy (no corrections) = -0.235 Ry per atom; V = 25.74 Å³/atom; uncorrected formation energy = -454 meV/atom
1.0
6.079 0.000 0.000
0.000 8.048 0.000
-1.631 0.000 7.365
Cd P Cl
6 4 4
direct
0.000 0.000 0.000
0.000 0.500 0.500
0.392 0.159 0.625
0.392 0.341 0.125
0.608 0.659 0.875
0.608 0.841 0.375
0.363 0.083 0.937
0.363 0.417 0.437
0.637 0.583 0.563
0.637 0.917 0.063
0.199 0.570 0.888
0.199 0.930 0.388
0.801 0.070 0.612
0.801 0.430 0.112

# 3
Sc2CrCu (PBEsol, optimized geometry); density of states at the Fermi level = 16.48 states/eV/cell; total DFT energy (no corrections) = -0.477 Ry per atom; V = 17.75 Å³/atom; energy of formation = 175 kJ/mol of formula units
1.0
3.025 0.000 0.000
-1.513 2.620 0.000
0.000 0.000 26.873
Sc Cr Cu
6 3 3
direct
0.000 0.000 0.000
0.000 0.000 0.230
0.333 0.667 0.667
0.333 0.667 0.897
0.667 0.333 0.333
0.667 0.333 0.564
0.000 0.000 0.482
0.333 0.667 0.149
0.667 0.333 0.816
0.000 0.000 0.745
0.333 0.667 0.412
0.667 0.333 0.079

# 4
ZnCdIn2 (PBEsol, optimized geometry); density of states at the Fermi level = 3.28 states/eV/cell; total DFT energy (no corrections) = -0.154 Ry per atom; V = 21.89 Å³/atom; energy of formation = 35 kJ/mol of formula units
1.0
3.069 0.000 0.000
0.000 5.265 0.000
0.000 0.000 10.840
Zn Cd In
2 2 4
direct
0.000 0.000 0.000
0.500 0.500 0.500
0.000 0.500 0.717
0.500 0.000 0.217
0.000 0.000 0.490
0.000 0.500 0.273
0.500 0.000 0.773
0.500 0.500 0.990

# 5
GeSbTe2Ir (PBEsol, optimized geometry); density of states at the Fermi level = 4.96 states/eV/cell; total DFT energy (no corrections) = -0.343 Ry per atom; V = 27.85 Å³/atom; uncorrected formation energy = 613 meV/atom
1.0
5.336 0.000 0.000
0.000 5.336 0.000
0.000 0.000 4.890
Ge Sb Te Ir
1 1 2 1
direct
0.000 0.000 0.000
0.500 0.500 0.000
0.000 0.500 0.500
0.500 0.000 0.500
0.500 0.500 0.500

# 6
TiBeSbO2 (PBEsol, optimized geometry); density of states at the Fermi level = 3.35 states/eV/cell; total DFT energy (no corrections) = -0.423 Ry per atom; V = 12.83 Å³/atom; uncorrected formation energy = -284 meV/atom
1.0
3.626 0.000 0.000
0.000 3.626 0.000
0.000 0.000 4.878
Ti Be Sb O
1 1 1 2
direct
0.000 0.000 0.000
0.000 0.000 0.500
0.500 0.500 0.000
0.000 0.500 0.500
0.500 0.000 0.500

# 7
Cr3SeO (PBEsol, optimized geometry); density of states at the Fermi level = 3.10 states/eV/cell; total DFT energy (no corrections) = -0.600 Ry per atom; V = 11.35 Å³/atom; uncorrected formation energy = -197 meV/atom
1.0
3.843 0.000 0.000
0.000 3.843 0.000
0.000 0.000 3.843
Cr Se O
3 1 1
direct
0.000 0.000 0.500
0.000 0.500 0.000
0.500 0.000 0.000
0.500 0.500 0.500
0.000 0.000 0.000

# 8
MgAsSN2 (PBEsol, optimized geometry); density of states at the Fermi level = 1.91 states/eV/cell; total DFT energy (no corrections) = -0.375 Ry per atom; V = 14.03 Å³/atom; uncorrected formation energy = 556 meV/atom
1.0
3.656 0.000 0.000
0.000 3.656 0.000
0.000 0.000 5.247
Mg As S N
1 1 1 2
direct
0.000 0.000 0.000
0.500 0.500 0.500
0.500 0.500 0.000
0.000 0.500 0.500
0.500 0.000 0.500

# 9
RbIrN2 (PBEsol, optimized geometry); density of states at the Fermi level = 7.71 states/eV/cell; total DFT energy (no corrections) = -0.492 Ry per atom; V = 17.17 Å³/atom; uncorrected formation energy = 280 meV/atom
1.0
6.104 0.000 0.000
0.000 6.104 0.000
0.000 0.000 7.371
Rb Ir N
4 4 8
direct
0.000 0.000 0.000
0.000 0.500 0.250
0.500 0.000 0.750
0.500 0.500 0.500
0.000 0.000 0.500
0.000 0.500 0.750
0.500 0.000 0.250
0.500 0.500 0.000
0.107 0.750 0.625
0.250 0.107 0.375
0.250 0.393 0.875
0.393 0.750 0.125
0.607 0.250 0.125
0.750 0.607 0.875
0.750 0.893 0.375
0.893 0.250 0.625

# 10
ZrCuPt2 (PBEsol, optimized geometry); density of states at the Fermi level = 2.33 states/eV/cell; total DFT energy (no corrections) = -0.561 Ry per atom; V = 15.37 Å³/atom; energy of formation = -304 kJ/mol of formula units
1.0
3.847 0.000 0.000
0.000 3.847 0.000
0.000 0.000 8.309
Zr Cu Pt
2 2 4
direct
0.000 0.000 0.000
0.500 0.500 0.500
0.000 0.500 0.750
0.500 0.000 0.250
0.000 0.000 0.500
0.000 0.500 0.250
0.500 0.000 0.750
0.500 0.500 0.000

# 11
CaRe2Si (PBEsol, optimized geometry); density of states at the Fermi level = 3.51 states/eV/cell; total DFT energy (no corrections) = -0.590 Ry per atom; V = 15.95 Å³/atom; uncorrected formation energy = 602 meV/atom
1.0
3.856 0.000 0.000
0.000 3.856 0.000
0.000 0.000 4.291
Ca Re Si
1 2 1
direct
0.000 0.000 0.000
0.000 0.500 0.500
0.500 0.000 0.500
0.500 0.500 0.000

# 12
LiZnRh (PBEsol, optimized geometry); density of states at the Fermi level = 2.54 states/eV/cell; total DFT energy (no corrections) = -0.302 Ry per atom; V = 12.81 Å³/atom; energy of formation = -62 kJ/mol of formula units
1.0
4.095 0.000 0.000
-2.048 3.547 0.000
0.000 0.000 2.647
Li Zn Rh
1 1 1
direct
0.000 0.000 0.000
0.667 0.333 0.239
0.333 0.667 0.650

# 13
Co2Mo (PBEsol, optimized geometry); density of states at the Fermi level = 2.32 states/eV/cell; total DFT energy (no corrections) = -0.616 Ry per atom; V = 13.33 Å³/atom; energy of formation = 201 kJ/mol of formula units
1.0
3.417 0.000 0.000
0.000 3.417 0.000
0.000 0.000 3.425
Co Mo
2 1
direct
0.000 0.500 0.000
0.500 0.000 0.000
0.000 0.000 0.500

# 14
NbTl2CoGe (PBEsol, optimized geometry); density of states at the Fermi level = 6.02 states/eV/cell; total DFT energy (no corrections) = -0.363 Ry per atom; V = 20.86 Å³/atom; energy of formation = 390 kJ/mol of formula units
1.0
4.916 0.000 0.000
0.000 4.916 0.000
0.000 0.000 4.316
Nb Tl Co Ge
1 2 1 1
direct
0.000 0.000 0.000
0.000 0.500 0.500
0.500 0.000 0.500
0.500 0.500 0.500
0.500 0.500 0.000

# 15
HgGeF2 (PBEsol, optimized geometry); density of states at the Fermi level = 0.01 states/eV/cell; total DFT energy (no corrections) = -0.268 Ry per atom; V = 22.48 Å³/atom; uncorrected formation energy = -1305 meV/atom
1.0
3.497 0.000 0.000
-1.749 3.029 0.000
0.000 0.000 25.472
Hg Ge F
3 3 6
direct
0.000 0.000 0.000
0.333 0.667 0.667
0.667 0.333 0.333
0.000 0.000 0.500
0.333 0.667 0.167
0.667 0.333 0.833
0.000 0.000 0.127
0.000 0.000 0.873
0.333 0.667 0.539
0.333 0.667 0.794
0.667 0.333 0.206
0.667 0.333 0.461

# 16
TaTeCl3 (PBEsol, optimized geometry); density of states at the Fermi level = 3.63 states/eV/cell; total DFT energy (no corrections) = -0.337 Ry per atom; V = 22.72 Å³/atom; uncorrected formation energy = -167 meV/atom
1.0
4.843 0.000 0.000
0.000 4.843 0.000
0.000 0.000 4.843
Ta Te Cl
1 1 3
direct
0.000 0.000 0.000
0.500 0.500 0.500
0.000 0.000 0.500
0.000 0.500 0.000
0.500 0.000 0.000

# 17
Be2TeP (PBEsol, optimized geometry); density of states at the Fermi level = 2.93 states/eV/cell; total DFT energy (no corrections) = -0.275 Ry per atom; V = 15.87 Å³/atom; uncorrected formation energy = 582 meV/atom
1.0
3.459 0.000 0.000
0.000 3.459 0.000
0.000 0.000 10.612
Be Te P
4 2 2
direct
0.000 0.000 0.000
0.000 0.500 0.250
0.500 0.000 0.750
0.500 0.500 0.500
0.000 0.500 0.750
0.500 0.000 0.250
0.000 0.000 0.500
0.500 0.500 0.000

# 18
KCdRu3 (PBEsol, optimized geometry); density of states at the Fermi level = 6.65 states/eV/cell; total DFT energy (no corrections) = -0.313 Ry per atom; V = 24.58 Å³/atom; energy of formation = 1113 kJ/mol of formula units
1.0
4.972 0.000 0.000
0.000 4.972 0.000
0.000 0.000 4.972
K Cd Ru
1 1 3
direct
0.000 0.000 0.000
0.500 0.500 0.500
0.000 0.500 0.500
0.500 0.000 0.500
0.500 0.500 0.000

# 19
Rb2BaAu (PBEsol, optimized geometry); density of states at the Fermi level = 18.95 states/eV/cell; total DFT energy (no corrections) = -0.131 Ry per atom; V = 40.80 Å³/atom; energy of formation = 98 kJ/mol of formula units
1.0
8.675 0.000 0.000
0.000 8.675 0.000
0.000 0.000 8.675
Rb Ba Au
8 4 4
direct
0.250 0.250 0.250
0.250 0.250 0.750
0.250 0.750 0.250
0.250 0.750 0.750
0.750 0.250 0.250
0.750 0.250 0.750
0.750 0.750 0.250
0.750 0.750 0.750
0.000 0.000 0.000
0.000 0.500 0.500
0.500 0.000 0.500
0.500 0.500 0.000
0.000 0.000 0.500
0.000 0.500 0.000
0.500 0.000 0.000
0.500 0.500 0.500

# 20
MoN (PBEsol, optimized geometry); density of states at the Fermi level = 2.29 states/eV/cell; total DFT energy (no corrections) = -0.787 Ry per atom; V = 11.24 Å³/atom; uncorrected formation energy = -555 meV/atom
1.0
4.071 0.000 0.000
0.000 4.071 0.000
0.000 0.000 4.071
Mo N
3 3
direct
0.000 0.000 0.500
0.000 0.500 0.000
0.500 0.000 0.000
0.000 0.500 0.500
0.500 0.000 0.500
0.500 0.500 0.000

# 21
InGeAs2Se (PBEsol, optimized geometry); density of states at the Fermi level = 4.85 states/eV/cell; total DFT energy (no corrections) = -0.259 Ry per atom; V = 26.86 Å³/atom; uncorrected formation energy = 873 meV/atom
1.0
5.103 0.000 0.000
0.000 5.103 0.000
0.000 0.000 5.158
In Ge As Se
1 1 2 1
direct
0.000 0.000 0.000
0.500 0.500 0.500
0.000 0.500 0.000
0.500 0.000 0.000
0.000 0.000 0.500

# 22
CaRe2Te (PBEsol, optimized geometry); density of states at the Fermi level = 7.18 states/eV/cell; total DFT energy (no corrections) = -0.540 Ry per atom; V = 18.68 Å³/atom; uncorrected formation energy = 738 meV/atom
1.0
5.625 0.000 0.000
0.000 10.713 0.000
-1.481 0.000 2.479
Ca Re Te
2 4 2
direct
0.000 0.000 0.000
0.500 0.500 0.000
0.250 0.250 0.000
0.250 0.750 0.000
0.750 0.250 0.000
0.750 0.750 0.000
0.000 0.500 0.000
0.500 0.000 0.000

# 23
Ca2FeTc (PBEsol, optimized geometry); density of states at the Fermi level = 3.77 states/eV/cell; total DFT energy (no corrections) = -0.390 Ry per atom; V = 18.55 Å³/atom; energy of formation = 318 kJ/mol of formula units
1.0
2.815 0.000 0.000
0.000 2.815 0.000
0.000 0.000 9.364
Ca Fe Tc
2 1 1
direct
0.000 0.000 0.242
0.000 0.000 0.758
0.500 0.500 0.000
0.500 0.500 0.500

# 24
SiSbTe2Pd (PBEsol, optimized geometry); density of states at the Fermi level = 3.95 states/eV/cell; total DFT energy (no corrections) = -0.298 Ry per atom; V = 27.66 Å³/atom; uncorrected formation energy = 603 meV/atom
1.0
5.278 0.000 0.000
0.000 5.278 0.000
0.000 0.000 4.965
Si Sb Te Pd
1 1 2 1
direct
0.000 0.000 0.000
0.500 0.500 0.000
0.000 0.500 0.500
0.500 0.000 0.500
0.500 0.500 0.500

# 25
LaGe2SI (PBEsol, optimized geometry); density of states at the Fermi level = 6.86 states/eV/cell; total DFT energy (no corrections) = -0.251 Ry per atom; V = 38.52 Å³/atom; uncorrected formation energy = 860 meV/atom
1.0
5.733 0.000 0.000
0.000 5.733 0.000
0.000 0.000 5.861
La Ge S I
1 2 1 1
direct
0.000 0.000 0.000
0.000 0.500 0.000
0.500 0.000 0.000
0.500 0.500 0.500
0.000 0.000 0.500

# 26
CoHg2Os (PBEsol, optimized geometry); density of states at the Fermi level = 6.81 states/eV/cell; total DFT energy (no corrections) = -0.329 Ry per atom; V = 15.78 Å³/atom; energy of formation = 309 kJ/mol of formula units
1.0
2.881 0.000 0.000
0.000 2.881 0.000
0.000 0.000 7.607
Co Hg Os
1 2 1
direct
0.000 0.000 0.000
0.500 0.500 0.235
0.500 0.500 0.765
0.000 0.000 0.500

# 27
TlFe2Rh (PBEsol, optimized geometry); density of states at the Fermi level = 3.14 states/eV/cell; total DFT energy (no corrections) = -0.506 Ry per atom; V = 14.44 Å³/atom; energy of formation = 113 kJ/mol of formula units
1.0
3.798 0.000 0.000
0.000 3.798 0.000
0.000 0.000 4.004
Tl Fe Rh
1 2 1
direct
0.000 0.000 0.000
0.000 0.500 0.500
0.500 0.000 0.500
0.500 0.500 0.000

# 28
La3Ag2 (PBEsol, optimized geometry); density of states at the Fermi level = 10.65 states/eV/cell; total DFT energy (no corrections) = -0.342 Ry per atom; V = 27.37 Å³/atom; energy of formation = -56 kJ/mol of formula units
1.0
11.863 0.000 0.000
0.000 3.658 0.000
-4.977 0.000 6.306
La Ag
6 4
direct
0.000 0.000 0.000
0.157 0.000 0.749
0.343 0.500 0.251
0.500 0.500 0.000
0.657 0.500 0.749
0.843 0.000 0.251
0.134 0.500 0.407
0.366 0.000 0.593
0.634 0.000 0.407
0.866 0.500 0.593

# 29
KReOF2 (PBEsol, optimized geometry); density of states at the Fermi level = 2.35 states/eV/cell; total DFT energy (no corrections) = -0.459 Ry per atom; V = 13.94 Å³/atom; uncorrected formation energy = -1534 meV/atom
1.0
4.277 0.000 0.000
0.000 4.277 0.000
0.000 0.000 3.809
K Re O F
1 1 1 2
direct
0.000 0.000 0.000
0.500 0.500 0.500
0.500 0.500 0.000
0.000 0.500 0.500
0.500 0.000 0.500

| no. | theoretical density (g cm⁻³) |
| --- | --- |
| 1 | 3.94 |
| 2 | 4.33 |
| 3 | 4.80 |
| 4 | 7.73 |
| 5 | 7.65 |
| 6 | 5.45 |
| 7 | 7.34 |
| 8 | 3.77 |
| 9 | 7.39 |
| 10 | 14.72 |
| 11 | 11.47 |
| 12 | 7.57 |
| 13 | 8.88 |
| 14 | 10.08 |
| 15 | 5.75 |
| 16 | 6.07 |
| 17 | 4.62 |
| 18 | 6.14 |
| 19 | 5.14 |
| 20 | 8.12 |
| 21 | 5.15 |
| 22 | 12.01 |
| 23 | 5.24 |
| 24 | 6.14 |
| 25 | 3.82 |
| 26 | 17.11 |
| 27 | 12.04 |
| 28 | 7.67 |
| 29 | 6.66 |